Compound: Y2TlCr
Source: Alexandria
Functional: meta-GGA SCAN
Structure: single point on PBEsol structure

abc: 3.5877 3.5877 7.4418
angles: 90.00 90.00 90.00
Atoms (fractional coordinates):
1 Y 0.0000 0.0000 0.7707
2 Y 0.0000 0.0000 0.2293
3 Cr 0.5000 0.5000 0.0000
4 Tl 0.5000 0.5000 0.5000

Summary:
- M_tot: 3.4 μB/f.u.
- Distance to the lowest polymorph of the same formula: 23 meV/atom
- E_form: -1.023 eV/f.u.
- Symmetry: P4/mmm (123)
- Volume: 96 Å³ per cell